A plane-wave DFT calculation with GGA-PBE was carried out for an optimized crystal structure of CeCu2As2.

Geometry as CIF:
```
data_CeCu2As2
_cell_length_a 3.946
_cell_length_b 23.180
_cell_length_c 3.954
_cell_angle_alpha 90.00
_cell_angle_beta 90.00
_cell_angle_gamma 90.00
_symmetry_space_group_name_H-M 'C m c m'
_symmetry_Int_Tables_number 63
_symmetry_space_group_name_Hall '-C 2c 2'
loop_
_atom_site_label
_atom_site_type_symbol
_atom_site_fract_x
_atom_site_fract_y
_atom_site_fract_z
Ce1 Ce 0.000 0.149 0.250
Cu1 Cu 0.000 0.036 0.750
Cu2 Cu 0.000 0.464 0.750
As1 As 0.000 0.250 0.750
As2 As 0.000 0.397 0.250
```

Summary:
Its final energy is -5.31 eV per atom. As for the volume: 361.7 Å³/cell.